No. 1
This record from Alexandria describes NaLi2In3 after structural relaxation. The functional is PBE-GGA.

Structure (POSCAR):
```
NaLi2In3
1.0
-2.762 1.535 3.234
-3.740 -4.860 -0.887
4.620 -0.356 4.114
Na In Li
1 3 2
Cartesian
0.001 -0.005 0.003
0.896 0.585 3.648
-3.223 -1.634 1.184
-0.934 -1.884 3.258
1.834 -1.864 2.451
-0.952 -3.365 0.784
```

The space-group type is P-62m (189). The calculation puts the total energy at -2.3392 eV per atom. Its calculated formation energy is -0.112 eV/atom. The calculation puts the volume at 150.3 Å³ per cell. The calculation puts the energy above the most stable polymorph in this dataset at 30 meV per atom. Its theoretical density is 4.212 g/cm³.

---

No. 2
This record from Alexandria describes NaLi2In3 after structural relaxation. The functional is PBE-GGA.

Structure (POSCAR):
```
NaLi2In3
1.0
-4.376 1.980 2.646
-4.474 -2.806 -5.299
-0.052 -6.030 4.427
In Li Na
6 4 2
Cartesian
-5.325 -0.256 -0.092
-5.335 -7.784 -0.155
-3.648 -1.479 3.596
-3.567 0.929 1.929
-3.576 -6.599 1.866
-5.253 -5.376 -1.822
-3.479 -3.531 -3.112
-1.046 -5.305 2.240
-5.667 -2.541 -1.789
-3.234 -4.315 3.563
-2.540 -2.329 0.383
-6.361 -4.527 1.391
```

The space-group type is Cmcm (63). The calculation puts the total energy at -2.3690 eV per atom. Its calculated formation energy is -0.142 eV/atom. The calculation puts the volume at 304.9 Å³ per cell. The calculation puts the energy above the most stable polymorph in this dataset at 0 meV per atom. Its theoretical density is 4.154 g/cm³.

---

No. 3
This record from Alexandria describes NaLi4In7 after structural relaxation. The functional is PBE-GGA.

Structure (POSCAR):
```
NaLi4In7
1.0
-2.611 -3.698 -2.700
3.807 -7.398 1.307
-5.074 -3.164 4.095
In Li Na
7 4 1
Cartesian
-1.660 -6.251 -0.122
1.082 -5.677 1.586
-2.217 -8.009 2.825
-1.765 -11.036 1.389
-4.959 -8.583 1.117
-1.305 -1.849 -1.350
-2.113 -3.224 1.314
0.099 -8.550 1.325
0.367 -3.804 -0.290
-4.244 -10.456 2.993
-3.977 -5.710 1.378
0.000 0.000 0.000
```

The space-group type is C2/m (12). The calculation puts the total energy at -2.4110 eV per atom. Its calculated formation energy is -0.066 eV/atom. The calculation puts the volume at 284.4 Å³ per cell. Its theoretical density is 4.990 g/cm³.

---

No. 4
This record from Alexandria describes NaLi6In5 after structural relaxation. The functional is PBE-GGA.

Structure (POSCAR):
```
NaLi6In5
1.0
-1.021 0.382 4.626
-6.882 -2.640 -3.742
6.717 -4.786 -0.564
Li Na In
6 1 5
Cartesian
-3.149 -4.869 -0.295
-2.576 -1.460 -0.446
-0.824 -1.672 2.398
1.390 -5.584 0.765
-0.362 -5.372 -2.078
1.962 -2.176 0.615
0.000 0.000 0.000
-5.101 -2.811 -0.894
-2.437 -3.342 -2.703
-0.593 -3.522 0.160
2.272 -4.085 -1.603
3.915 -4.233 1.214
```

The space-group type is Immm (71). The calculation puts the total energy at -2.4589 eV per atom. Its calculated formation energy is -0.251 eV/atom. The calculation puts the volume at 240.1 Å³ per cell. Its theoretical density is 4.417 g/cm³.